Record 1
HoCoC2: relaxed, GGA-PBEsol.

Computed properties:
The energy of formation is -41 kJ/mol of atoms. The calculated density is 9.0 g/cm3. Its energy is -33.692 eV/f.u.

Structure (CIF):
```
data_HoCoC2
_chemical_formula_sum 'Ho2 Co2 C4'
_space_group_name_H-M_alt 'A m m 2'
_space_group_IT_number 38
_cell_length_a 3.492
_cell_length_b 4.463
_cell_length_c 5.890
_cell_angle_alpha 90.00
_cell_angle_beta 90.00
_cell_angle_gamma 90.00
loop_
_space_group_symop_operation_xyz
'x,y,z'
'-x,-y,z'
'-x,y,z'
'x,-y,z'
'x,y+1/2,z+1/2'
'-x,-y+1/2,z+1/2'
'-x,y+1/2,z+1/2'
'x,-y+1/2,z+1/2'
loop_
_atom_site_label
_atom_site_fract_x
_atom_site_fract_y
_atom_site_fract_z
Ho1 0.000 0.000 0.000
Co1 0.500 0.000 0.384
C1 0.500 0.155 0.695
```

***

Record 2
BaTlRh: relaxed, GGA-PBEsol.

Computed properties:
The energy of formation is -15 kJ/mol of atoms. The calculated density is 8.6 g/cm3. Its energy is -13.373 eV/f.u.

Structure (CIF):
```
data_BaTlRh
_chemical_formula_sum 'Ba1 Tl1 Rh1'
_space_group_name_H-M_alt 'P 3 m 1'
_space_group_IT_number 156
_cell_length_a 4.6210
_cell_length_b 4.6210
_cell_length_c 4.6641
_cell_angle_alpha 90.00
_cell_angle_beta 90.00
_cell_angle_gamma 120.00
loop_
_space_group_symop_operation_xyz
'x,y,z'
'-y,x-y,z'
'-x+y,-x,z'
'-y,-x,z'
'-x+y,y,z'
'x,x-y,z'
loop_
_atom_site_label
_atom_site_fract_x
_atom_site_fract_y
_atom_site_fract_z
Ba1 0.0000 0.0000 0.0000
Tl1 0.6667 0.3333 0.4999
Rh1 0.3333 0.6667 0.5015
```

***

Record 3
Na2ReAuC: relaxed, GGA-PBEsol.

Computed properties:
The energy of formation is 157 kJ/mol of atoms. The calculated density is 7.4 g/cm3. Its energy is -21.568 eV/f.u.

Structure (CIF):
```
data_Na2ReAuC
_chemical_formula_sum 'Na2 Re1 Au1 C1'
_space_group_name_H-M_alt 'P 4/m m m'
_space_group_IT_number 123
_space_group_name_Hall '-P 4 2'
_cell_length_a 5.084
_cell_length_b 5.084
_cell_length_c 3.815
_cell_angle_alpha 90.00
_cell_angle_beta 90.00
_cell_angle_gamma 90.00
loop_
_atom_site_label
_atom_site_fract_x
_atom_site_fract_y
_atom_site_fract_z
Na1 0.000 0.500 0.000
Re1 0.000 0.000 0.500
Au1 0.500 0.500 0.500
C1 0.500 0.500 0.000
```

***

Record 4
Ba6Co25S27: relaxed, GGA-PBEsol.

Computed properties:
The value obtained for the energy relative to the elements, uncorrected is -4564 kJ/mol of formula units. The calculated density is 5.6 g/cm3. Its energy is -371.995 eV/f.u.

Structure (CIF):
```
data_Ba6Co25S27
_chemical_formula_sum 'Ba6 Co25 S27'
_space_group_name_H-M_alt 'P m -3 m'
_space_group_IT_number 221
_space_group_name_Hall '-P 4 2 3'
_cell_length_a 9.811
_cell_length_b 9.811
_cell_length_c 9.811
_cell_angle_alpha 90.00
_cell_angle_beta 90.00
_cell_angle_gamma 90.00
loop_
_atom_site_label
_atom_site_fract_x
_atom_site_fract_y
_atom_site_fract_z
Ba1 0.000 0.000 0.305
Co1 0.130 0.371 0.371
Co2 0.500 0.500 0.500
S1 0.000 0.000 0.000
S2 0.000 0.254 0.500
S3 0.239 0.239 0.239
S4 0.262 0.500 0.500
```

***

Record 5
Mg2TlPb: relaxed, GGA-PBEsol.

Computed properties:
The value obtained for the energy above the most stable polymorph in this dataset is 41 meV/atom. The energy of formation is -4 kJ/mol of atoms. The calculated density is 7.6 g/cm3. Its energy is -10.249 eV/f.u.

Structure (CIF):
```
data_Mg2TlPb
_chemical_formula_sum 'Mg2 Tl1 Pb1'
_space_group_name_H-M_alt 'P m m 2'
_space_group_IT_number 25
_cell_length_a 3.412
_cell_length_b 4.619
_cell_length_c 6.369
_cell_angle_alpha 90.00
_cell_angle_beta 90.00
_cell_angle_gamma 90.00
loop_
_space_group_symop_operation_xyz
'x,y,z'
'-x,-y,z'
'-x,y,z'
'x,-y,z'
loop_
_atom_site_label
_atom_site_fract_x
_atom_site_fract_y
_atom_site_fract_z
Mg1 0.000 0.000 0.000
Mg2 0.500 0.500 0.265
Tl1 0.500 0.500 0.781
Pb1 0.000 0.000 0.492
```

***

Record 6
NaMnSe2: relaxed, GGA-PBEsol.

Computed properties:
The value obtained for the energy relative to the elements, uncorrected is -96 kJ/mol of formula units. The calculated density is 5.2 g/cm3. Its energy is -19.859 eV/f.u.

Structure (CIF):
```
data_NaMnSe2
_chemical_formula_sum 'Na4 Mn4 Se8'
_space_group_name_H-M_alt 'F m -3 m'
_space_group_IT_number 225
_space_group_name_Hall '-F 4 2 3'
_cell_length_a 6.715
_cell_length_b 6.715
_cell_length_c 6.715
_cell_angle_alpha 90.00
_cell_angle_beta 90.00
_cell_angle_gamma 90.00
loop_
_atom_site_label
_atom_site_fract_x
_atom_site_fract_y
_atom_site_fract_z
Na1 0.000 0.000 0.000
Mn1 0.000 0.000 0.500
Se1 0.250 0.250 0.250
```

***

Record 7
CoPRu2: relaxed, GGA-PBEsol.

Computed properties:
The energy of formation is -5 kJ/mol of atoms. The calculated density is 10.2 g/cm3. Its energy is -34.075 eV/f.u.

Structure (CIF):
```
data_CoPRu2
_chemical_formula_sum 'Co2 P2 Ru4'
_space_group_name_H-M_alt 'I -4 m 2'
_space_group_IT_number 119
_space_group_name_Hall 'I -4 -2'
_cell_length_a 3.611
_cell_length_b 3.611
_cell_length_c 7.280
_cell_angle_alpha 90.00
_cell_angle_beta 90.00
_cell_angle_gamma 90.00
loop_
_atom_site_label
_atom_site_fract_x
_atom_site_fract_y
_atom_site_fract_z
Co1 0.000 0.000 0.000
P1 0.000 0.500 0.250
Ru1 0.000 0.000 0.500
Ru2 0.000 0.500 0.750
```

***

Record 8
KZr2Cd: relaxed, GGA-PBEsol.

Computed properties:
The energy of formation is 20 kJ/mol of atoms. The calculated density is 5.3 g/cm3. Its energy is -19.696 eV/f.u.

Structure (CIF):
```
data_KZr2Cd
_chemical_formula_sum 'K1 Zr2 Cd1'
_space_group_name_H-M_alt 'P 4 m m'
_space_group_IT_number 99
_cell_length_a 3.132
_cell_length_b 3.132
_cell_length_c 10.682
_cell_angle_alpha 90.00
_cell_angle_beta 90.00
_cell_angle_gamma 90.00
loop_
_space_group_symop_operation_xyz
'x,y,z'
'-y,x,z'
'-x,-y,z'
'y,-x,z'
'-x,y,z'
'y,x,z'
'x,-y,z'
'-y,-x,z'
loop_
_atom_site_label
_atom_site_fract_x
_atom_site_fract_y
_atom_site_fract_z
K1 0.000 0.000 0.000
Zr1 0.000 0.000 0.518
Zr2 0.500 0.500 0.321
Cd1 0.500 0.500 0.732
```

***

Record 9
La2InCu: relaxed, GGA-PBEsol.

Computed properties:
The energy of formation is -27 kJ/mol of atoms. The calculated density is 7.5 g/cm3. Its energy is -19.116 eV/f.u.

Structure (CIF):
```
data_La2InCu
_chemical_formula_sum 'La4 In2 Cu2'
_space_group_name_H-M_alt 'I m m 2'
_space_group_IT_number 44
_cell_length_a 3.669
_cell_length_b 5.141
_cell_length_c 10.721
_cell_angle_alpha 90.00
_cell_angle_beta 90.00
_cell_angle_gamma 90.00
loop_
_space_group_symop_operation_xyz
'x,y,z'
'-x,-y,z'
'-x,y,z'
'x,-y,z'
'x+1/2,y+1/2,z+1/2'
'-x+1/2,-y+1/2,z+1/2'
'-x+1/2,y+1/2,z+1/2'
'x+1/2,-y+1/2,z+1/2'
loop_
_atom_site_label
_atom_site_fract_x
_atom_site_fract_y
_atom_site_fract_z
La1 0.000 0.000 0.000
La2 0.000 0.500 0.203
In1 0.000 0.000 0.414
Cu1 0.000 0.500 0.733
```

***

Record 10
ScMn2Cr: relaxed, GGA-PBEsol.

Computed properties:
The value obtained for the energy above the most stable polymorph in this dataset is 27 meV/atom. The energy of formation is 22 kJ/mol of atoms. The calculated density is 6.7 g/cm3. Its energy is -35.465 eV/f.u.

Structure (CIF):
```
data_ScMn2Cr
_chemical_formula_sum 'Sc1 Mn2 Cr1'
_space_group_name_H-M_alt 'P 4 m m'
_space_group_IT_number 99
_cell_length_a 2.855
_cell_length_b 2.855
_cell_length_c 6.295
_cell_angle_alpha 90.00
_cell_angle_beta 90.00
_cell_angle_gamma 90.00
loop_
_space_group_symop_operation_xyz
'x,y,z'
'-y,x,z'
'-x,-y,z'
'y,-x,z'
'-x,y,z'
'y,x,z'
'x,-y,z'
'-y,-x,z'
loop_
_atom_site_label
_atom_site_fract_x
_atom_site_fract_y
_atom_site_fract_z
Sc1 0.000 0.000 0.000
Mn1 0.000 0.000 0.505
Mn2 0.500 0.500 0.707
Cr1 0.500 0.500 0.299
```

***

Record 11
YSiNi4: relaxed, GGA-PBEsol.

Computed properties:
The value obtained for the energy relative to the elements, uncorrected is -374 kJ/mol of formula units. The calculated density is 7.4 g/cm3. Its energy is -41.078 eV/f.u.

Structure (CIF):
```
data_YSiNi4
_chemical_formula_sum 'Y2 Si2 Ni8'
_space_group_name_H-M_alt 'C m m m'
_space_group_IT_number 65
_space_group_name_Hall '-C 2 2'
_cell_length_a 4.989
_cell_length_b 8.077
_cell_length_c 3.899
_cell_angle_alpha 90.00
_cell_angle_beta 90.00
_cell_angle_gamma 90.00
loop_
_atom_site_label
_atom_site_fract_x
_atom_site_fract_y
_atom_site_fract_z
Y1 0.000 0.000 0.000
Si1 0.000 0.500 0.500
Ni1 0.000 0.341 0.000
Ni2 0.250 0.250 0.500
```

***

Record 12
Si2SnRuCl: relaxed, GGA-PBEsol.

Computed properties:
The value obtained for the energy relative to the elements, uncorrected is -40 kJ/mol of formula units. The calculated density is 4.9 g/cm3. Its energy is -28.347 eV/f.u.

Structure (CIF):
```
data_Si2SnRuCl
_chemical_formula_sum 'Si2 Sn1 Ru1 Cl1'
_space_group_name_H-M_alt 'P 4/m m m'
_space_group_IT_number 123
_space_group_name_Hall '-P 4 2'
_cell_length_a 4.507
_cell_length_b 4.507
_cell_length_c 5.206
_cell_angle_alpha 90.00
_cell_angle_beta 90.00
_cell_angle_gamma 90.00
loop_
_atom_site_label
_atom_site_fract_x
_atom_site_fract_y
_atom_site_fract_z
Si1 0.000 0.500 0.000
Sn1 0.000 0.000 0.500
Ru1 0.000 0.000 0.000
Cl1 0.500 0.500 0.500
```